First-principles (PBE) data for crystalline NbCdI2N at its relaxed geometry, as listed in Alexandria.

a b c (Å): 5.798 5.798 3.956
angles (deg): 90.00 90.00 90.00
Space group P4/mmm (No. 123)
Symmetry-distinct sites (fractional):
Nb: 0.000 0.000 0.000 x1
Cd: 0.500 0.500 0.500 x1
I: 0.000 0.500 0.000 x2
N: 0.000 0.000 0.500 x1

Results
energy relative to the lowest polymorph listed for this composition	0.0	meV per atom
formation energy (no corrections)	0.037	eV per atom
E_tot	-4.445	eV/atom
magnetic moment	0.0	μB per cell